Density functional theory data (PBE) for an optimized crystal structure of LiH3Pt.

a b c (Å): 3.3682 4.5258 5.3444
angles (deg): 90.00 92.54 90.00
Element x y z (fractional)
Li 0.2489 0.2500 0.3962
Li 0.7511 0.7500 0.6038
H 0.2363 0.7500 0.4283
H 0.2997 0.5012 0.8451
H 0.2997 0.9988 0.8451
H 0.7003 0.0012 0.1549
H 0.7003 0.4988 0.1549
H 0.7637 0.2500 0.5717
Pt 0.2744 0.7500 0.1120
Pt 0.7256 0.2500 0.8880

Density, g cm⁻³: 8.37
Space group: P2_1/m (11)
Energy, eV per atom: -3.800
D(E_F), states/eV per cell: 0.1

=====

Density functional theory data (PBE) for an optimized crystal structure of LiNbTc2Rh.

a b c (Å): 4.7792 4.7792 4.8102
angles (deg): 90.00 90.00 90.00
Element x y z (fractional)
Li 0.0000 0.0000 0.0000
Nb 0.5000 0.5000 0.5000
Tc 0.0000 0.5000 0.5000
Tc 0.5000 0.0000 0.5000
Rh 0.5000 0.5000 0.0000

Density, g cm⁻³: 6.03
Space group: P4/mmm (123)
Energy, eV per atom: -6.657
D(E_F), states/eV per cell: 4.7

=====

Density functional theory data (PBE) for an optimized crystal structure of TbNd5Sm2.

a b c (Å): 11.7119 11.7119 6.5430
angles (deg): 97.66 97.66 136.00
Element x y z (fractional)
Tb 0.0013 0.9987 0.7500
Tb 0.9987 0.0013 0.2500
Nd 0.0507 0.7316 0.4709
Nd 0.1746 0.3942 0.1427
Nd 0.2684 0.9493 0.0291
Nd 0.3382 0.6618 0.7500
Nd 0.3942 0.1746 0.6427
Nd 0.6058 0.8254 0.3573
Nd 0.6618 0.3382 0.2500
Nd 0.7316 0.0507 0.9709
Nd 0.8254 0.6058 0.8573
Nd 0.9493 0.2684 0.5291
Sm 0.0000 0.5000 0.0000
Sm 0.5000 0.0000 0.5000
Sm 0.5000 0.5000 0.0000
Sm 0.5000 0.5000 0.5000

Energy relative to the lowest polymorph listed for this composition, meV/atom: 297
Density, g cm⁻³: 6.73
Space group: C2/c (15)
D(E_F), states/eV per cell: 26.8

=====

Density functional theory data (PBE) for an optimized crystal structure of TmTiOs4.

a b c (Å): 5.2299 5.2299 5.2299
angles (deg): 60.00 60.00 60.00
Element x y z (fractional)
Tm 0.0000 0.0000 0.0000
Ti 0.2500 0.2500 0.2500
Os 0.1258 0.6247 0.6247
Os 0.6247 0.1258 0.6247
Os 0.6247 0.6247 0.1258
Os 0.6247 0.6247 0.6247

Density, g cm⁻³: 16.05
Space group: F-43m (216)
Energy, eV per atom: -9.737
D(E_F), states/eV per cell: 6.0